1.
{"formula": "MnCuP2", "functional": "GGA-PBE", "state": "relaxed", "lattice": [[2.7894, 0.0000, 0.0000], [0.0000, 2.7894, 0.0000], [0.0000, 0.0000, 6.3745]], "species": ["Cu", "Mn", "P", "P"], "fractional_positions": [[0.5000, 0.5000, 0.2500], [0.5000, 0.5000, 0.7500], [0.0000, 0.0000, 0.9653], [0.0000, 0.0000, 0.5347]], "magmom_total_mub_per_fu": 0.00, "sg": "No. 123", "delta_e_f_ev_per_atom": 0.01, "vol_a3_per_atom": 12.40}

---

2.
{"formula": "ZrAlSe2", "functional": "GGA-PBE", "state": "relaxed", "lattice": [[-2.7429, -0.7597, -1.9080], [1.5579, -2.8439, -1.1072], [-2.6439, -3.4652, 5.1804]], "species": ["Se", "Se", "Zr", "Al"], "fractional_positions": [[0.0000, 0.0000, 0.0209], [0.0000, 0.0000, 0.4791], [0.5000, 0.5000, 0.2500], [0.5000, 0.5000, 0.7500]], "magmom_total_mub_per_fu": 0.00, "sg": "No. 123", "e_form_raw_ev_per_fu": -2.74, "vol_a3_per_atom": 19.87}

---

3.
{"formula": "CaZn2Cu", "functional": "GGA-PBE", "state": "relaxed", "lattice": [[-0.2122, -4.7882, -1.8227], [1.0791, 0.3514, 5.5373], [-2.6916, -0.8223, 1.2200]], "species": ["Zn", "Zn", "Ca", "Cu"], "fractional_positions": [[0.0000, 0.0000, 0.0000], [0.5000, 0.0000, 0.5000], [0.0000, 0.5000, 0.5000], [0.5000, 0.5000, 0.0000]], "magmom_total_mub_per_fu": 0.00, "sg": "No. 12", "delta_e_f_ev_per_atom": 0.15, "vol_a3_per_atom": 19.13}

---

4.
{"formula": "LaPm4Y", "functional": "GGA-PBE", "state": "relaxed", "lattice": [[3.6648, 0.0000, 0.0000], [0.0000, 11.9202, -2.2523], [0.0000, -2.5919, 9.9699]], "species": ["La", "La", "Pm", "Pm", "Pm", "Pm", "Pm", "Pm", "Pm", "Pm", "Y", "Y"], "fractional_positions": [[0.0000, 0.0000, 0.5000], [0.5000, 0.5000, 0.0000], [0.5002, 0.1676, 0.3317], [0.0002, 0.3324, 0.1683], [0.4998, 0.8324, 0.6683], [0.9998, 0.6676, 0.8317], [0.9999, 0.6662, 0.3352], [0.4999, 0.8338, 0.1648], [0.0001, 0.3338, 0.6648], [0.5001, 0.1662, 0.8352], [0.5000, 0.5000, 0.5000], [0.0000, 0.0000, 0.0000]], "relative_energy_mev_per_atom": 0, "magmom_total_mub_per_fu": 0.00, "sg": "No. 12", "delta_e_f_ev_per_atom": 0.02, "vol_a3_per_atom": 34.51}

---

5.
{"formula": "GaP2Pb", "functional": "GGA-PBE", "state": "relaxed", "lattice": [[-0.7574, -4.0016, -1.8667], [2.8689, -3.3716, 0.6876], [-2.9583, -4.4151, 5.2889]], "species": ["Pb", "P", "P", "Ga"], "fractional_positions": [[0.5000, 0.5000, 0.5000], [0.1037, 0.1037, 0.6888], [0.8963, 0.8963, 0.3112], [0.0000, 0.0000, 0.0000]], "relative_energy_mev_per_atom": 370, "magmom_total_mub_per_fu": 0.00, "sg": "No. 166", "delta_e_f_ev_per_atom": 0.38, "vol_a3_per_atom": 30.58}

---

6.
{"formula": "YPt6", "functional": "GGA-PBE", "state": "relaxed", "lattice": [[-2.5784, 1.0002, 5.4016], [0.1020, -5.9634, -1.1197], [5.6753, 2.1482, 0.0387]], "species": ["Y", "Pt", "Pt", "Pt", "Pt", "Pt", "Pt"], "fractional_positions": [[0.0000, 0.0000, 0.0000], [0.2500, 0.7500, 0.5000], [0.5000, 0.7500, 0.2500], [0.2500, 0.5000, 0.7500], [0.7500, 0.2500, 0.5000], [0.5000, 0.2500, 0.7500], [0.7500, 0.5000, 0.2500]], "relative_energy_mev_per_atom": 938, "magmom_total_mub_per_fu": 0.00, "sg": "No. 229", "delta_e_f_ev_per_atom": 0.41, "vol_a3_per_atom": 24.58}

---

7.
{"formula": "Cs2TlS3", "functional": "GGA-PBE", "state": "relaxed", "lattice": [[6.0712, -0.1431, -0.1019], [0.4717, 8.5078, -0.1288], [0.4717, 2.6575, 8.0831]], "species": ["Cs", "Cs", "Cs", "Cs", "Tl", "Tl", "S", "S", "S", "S", "S", "S"], "fractional_positions": [[0.7486, 0.1889, 0.5118], [0.2486, 0.5118, 0.1889], [0.7514, 0.4882, 0.8111], [0.2514, 0.8111, 0.4882], [0.7500, 0.8833, 0.1167], [0.2500, 0.1167, 0.8833], [0.2500, 0.3604, 0.6396], [0.7500, 0.6396, 0.3604], [0.9676, 0.8640, 0.8551], [0.5324, 0.1449, 0.1360], [0.4676, 0.8551, 0.8640], [0.0324, 0.1360, 0.1449]], "magmom_total_mub_per_fu": 0.00, "sg": "No. 15", "e_form_raw_ev_per_fu": -3.75, "vol_a3_per_atom": 35.04}

---

8.
{"formula": "Cs2Nd2US6", "functional": "GGA-PBE", "state": "relaxed", "lattice": [[7.1841, -0.0116, 0.0571], [-3.5609, 6.2395, 0.0571], [-1.2988, -2.2325, 8.2088]], "species": ["Cs", "Cs", "Nd", "Nd", "U", "S", "S", "S", "S", "S", "S"], "fractional_positions": [[0.8304, 0.1696, 0.0000], [0.1696, 0.8304, 0.0000], [0.3337, 0.6663, 0.5000], [0.6663, 0.3337, 0.5000], [0.0000, 0.0000, 0.5000], [0.7447, 0.7447, 0.6785], [0.0591, 0.3800, 0.6789], [0.2553, 0.2553, 0.3215], [0.3800, 0.0591, 0.6789], [0.9409, 0.6200, 0.3211], [0.6200, 0.9409, 0.3211]], "magmom_total_mub_per_fu": 2.00, "sg": "No. 12", "e_form_raw_ev_per_fu": -18.85, "vol_a3_per_atom": 33.59}

---

9.
{"formula": "TlBi2Pb", "functional": "GGA-PBE", "state": "relaxed", "lattice": [[5.4187, 0.0000, 0.0000], [2.7094, 4.6928, 0.0000], [2.7094, 1.5643, 5.6823]], "species": ["Tl", "Bi", "Bi", "Pb"], "fractional_positions": [[0.4827, 0.4827, 0.5519], [0.0795, 0.0795, 0.7615], [0.2633, 0.2633, 0.2101], [0.6745, 0.6745, 0.9765]], "relative_energy_mev_per_atom": 61, "magmom_total_mub_per_fu": 0.00, "sg": "No. 160", "delta_e_f_ev_per_atom": 0.07, "vol_a3_per_atom": 36.12}

---

10.
{"formula": "UV2Fe", "functional": "GGA-PBE", "state": "relaxed", "lattice": [[4.6193, 0.0000, 0.0000], [0.0000, 3.5923, 0.0000], [0.0000, 0.0000, 3.5923]], "species": ["U", "Fe", "V", "V"], "fractional_positions": [[0.5000, 0.5000, 0.5000], [0.5000, 0.0000, 0.0000], [0.0000, 0.0000, 0.5000], [0.0000, 0.5000, 0.0000]], "relative_energy_mev_per_atom": 6, "magmom_total_mub_per_fu": 0.02, "sg": "No. 123", "delta_e_f_ev_per_atom": 0.20, "vol_a3_per_atom": 14.90}

---

11.
{"formula": "NbCd2I8", "functional": "GGA-PBE", "state": "relaxed", "lattice": [[7.1944, -0.0634, 0.3410], [-0.0239, 8.1812, 4.1964], [-0.3201, 1.0805, 9.1254]], "species": ["Nb", "Cd", "Cd", "I", "I", "I", "I", "I", "I", "I", "I"], "fractional_positions": [[0.0000, 0.0000, 0.0000], [0.5874, 0.8362, 0.8362], [0.4126, 0.1638, 0.1638], [0.2413, 0.2906, 0.8280], [0.7587, 0.1720, 0.7094], [0.1840, 0.8457, 0.8457], [0.8161, 0.1543, 0.1543], [0.2413, 0.8280, 0.2906], [0.7587, 0.7094, 0.1720], [0.6772, 0.6736, 0.6736], [0.3228, 0.3264, 0.3264]], "magmom_total_mub_per_fu": 1.00, "sg": "No. 12", "e_form_raw_ev_per_fu": -4.97, "vol_a3_per_atom": 45.95}

---

12.
{"formula": "ZrSiIr2W", "functional": "GGA-PBE", "state": "relaxed", "lattice": [[4.7537, 0.0000, 0.0000], [0.0000, 4.6106, 0.0000], [0.0000, 0.0000, 4.7537]], "species": ["Si", "Ir", "Ir", "Zr", "W"], "fractional_positions": [[0.0000, 0.5000, 0.0000], [0.0000, 0.0000, 0.5000], [0.5000, 0.0000, 0.0000], [0.5000, 0.5000, 0.5000], [0.0000, 0.0000, 0.0000]], "magmom_total_mub_per_fu": 0.00, "sg": "No. 123", "e_form_raw_ev_per_fu": 4.18, "vol_a3_per_atom": 20.84}

---

13.
{"formula": "Tc2AgSb", "functional": "GGA-PBE", "state": "relaxed", "lattice": [[3.0109, 0.0119, 0.0000], [-0.0115, 3.0109, 0.0000], [0.0000, 0.0000, 8.0955]], "species": ["Ag", "Sb", "Tc", "Tc"], "fractional_positions": [[0.0000, 0.0000, 0.4694], [0.5000, 0.5000, 0.7835], [0.0000, 0.0000, 0.0336], [0.5000, 0.5000, 0.2134]], "magmom_total_mub_per_fu": 0.00, "sg": "No. 99", "e_form_raw_ev_per_fu": 1.04, "vol_a3_per_atom": 18.35}

---

14.
{"formula": "Ba3Mg5", "functional": "GGA-PBE", "state": "relaxed", "lattice": [[-9.2108, 2.6731, -3.1386], [4.6692, -6.5264, 6.1189], [1.6619, 8.2024, 5.6593]], "species": ["Mg", "Mg", "Mg", "Mg", "Mg", "Mg", "Mg", "Mg", "Mg", "Mg", "Ba", "Ba", "Ba", "Ba", "Ba", "Ba"], "fractional_positions": [[0.0641, 0.7277, 0.7899], [0.2738, 0.0635, 0.3366], [0.2509, 0.7509, 0.5004], [0.2277, 0.5641, 0.7899], [0.4374, 0.2263, 0.6637], [0.5636, 0.7739, 0.3365], [0.7729, 0.4368, 0.2111], [0.7501, 0.2502, 0.5008], [0.7263, 0.9374, 0.6637], [0.9368, 0.2729, 0.2111], [0.1843, 0.3169, 0.5006], [0.2508, 0.2500, 0.0001], [0.3161, 0.8161, 0.1329], [0.6849, 0.1849, 0.8684], [0.7499, 0.7508, 0.0001], [0.8168, 0.6843, 0.5006]], "relative_energy_mev_per_atom": 61, "magmom_total_mub_per_fu": 0.12, "sg": "No. 8", "delta_e_f_ev_per_atom": 0.10, "vol_a3_per_atom": 37.80}

---

15.
{"formula": "Zr4FeP", "functional": "GGA-PBE", "state": "relaxed", "lattice": [[0.0000, 3.9652, 3.9652], [3.9652, 0.0000, 3.9652], [3.9652, 3.9652, 0.0000]], "species": ["Zr", "Zr", "Zr", "Zr", "Fe", "P"], "fractional_positions": [[0.8725, 0.3758, 0.3758], [0.3758, 0.3758, 0.8725], [0.3758, 0.8725, 0.3758], [0.3758, 0.3758, 0.3758], [0.7500, 0.7500, 0.7500], [0.0000, 0.0000, 0.0000]], "magmom_total_mub_per_fu": 2.08, "sg": "No. 216", "delta_e_f_ev_per_atom": 0.63, "vol_a3_per_atom": 20.78}

---

16.
{"formula": "NaSmY2S4", "functional": "GGA-PBE", "state": "relaxed", "lattice": [[3.9414, 0.0000, 0.0000], [0.0000, 6.8969, -0.1601], [0.0000, 2.3974, 6.4470]], "species": ["Na", "Sm", "Y", "Y", "S", "S", "S", "S"], "fractional_positions": [[0.5000, 0.5000, 0.0000], [0.0000, 0.5000, 0.5000], [0.0000, 0.0000, 0.0000], [0.5000, 0.0000, 0.5000], [0.0000, 0.7595, 0.7458], [0.0000, 0.2405, 0.2542], [0.5000, 0.7567, 0.2460], [0.5000, 0.2433, 0.7540]], "magmom_total_mub_per_fu": 0.00, "sg": "No. 10", "e_form_raw_ev_per_fu": -15.44, "vol_a3_per_atom": 22.10}

---

17.
{"formula": "Ce4MgB3Rh12", "functional": "GGA-PBE", "state": "relaxed", "lattice": [[7.4792, 0.0000, 0.0000], [-2.4931, 7.0515, 0.0000], [-2.4931, -3.5257, 6.1068]], "species": ["Ce", "Ce", "Ce", "Ce", "Mg", "B", "B", "B", "Rh", "Rh", "Rh", "Rh", "Rh", "Rh", "Rh", "Rh", "Rh", "Rh", "Rh", "Rh"], "fractional_positions": [[0.5000, 0.5000, 0.5000], [0.0000, 0.0000, 0.5000], [0.5000, 0.0000, 0.0000], [0.0000, 0.5000, 0.0000], [0.0000, 0.0000, 0.0000], [0.5000, 0.0000, 0.5000], [0.5000, 0.5000, 0.0000], [0.0000, 0.5000, 0.5000], [0.2500, 0.5000, 0.7500], [0.7274, 0.0000, 0.7274], [0.2726, 0.0000, 0.2726], [0.7500, 0.5000, 0.2500], [0.7274, 0.7274, 0.0000], [0.2726, 0.2726, 0.0000], [0.7500, 0.2500, 0.5000], [0.2500, 0.7500, 0.5000], [0.5000, 0.2500, 0.7500], [0.0000, 0.7274, 0.7274], [0.5000, 0.7500, 0.2500], [0.0000, 0.2726, 0.2726]], "magmom_total_mub_per_fu": 0.34, "sg": "No. 229", "delta_e_f_ev_per_atom": -0.61, "vol_a3_per_atom": 16.10}

---

18.
{"formula": "Dy2ScCd", "functional": "GGA-PBE", "state": "relaxed", "lattice": [[5.3321, 0.0000, 0.0000], [2.6661, 4.6178, 0.0000], [2.6661, 1.5393, 4.3537]], "species": ["Sc", "Cd", "Dy", "Dy"], "fractional_positions": [[0.0000, 0.0000, 0.0000], [0.5000, 0.5000, 0.5000], [0.2500, 0.2500, 0.2500], [0.7500, 0.7500, 0.7500]], "relative_energy_mev_per_atom": 81, "magmom_total_mub_per_fu": 0.05, "sg": "No. 225", "delta_e_f_ev_per_atom": -0.05, "vol_a3_per_atom": 26.80}

---

19.
{"formula": "Pu2Pa2CuSi4", "functional": "GGA-PBE", "state": "relaxed", "lattice": [[6.2641, 0.1453, 0.2097], [-2.8794, 5.5650, -0.2097], [-2.8794, -2.1516, 5.1366]], "species": ["Pu", "Pu", "Pa", "Pa", "Cu", "Si", "Si", "Si", "Si"], "fractional_positions": [[0.0000, 0.6775, 0.6775], [0.0000, 0.3225, 0.3225], [0.5000, 0.7500, 0.2500], [0.5000, 0.2500, 0.7500], [0.0000, 0.0000, 0.0000], [0.0000, 0.7611, 0.2389], [0.5222, 0.7611, 0.7611], [0.0000, 0.2389, 0.7611], [0.4778, 0.2389, 0.2389]], "magmom_total_mub_per_fu": 12.91, "sg": "No. 139", "e_form_raw_ev_per_fu": -1.11, "vol_a3_per_atom": 20.35}

---

20.
{"formula": "ZrPbBr2", "functional": "GGA-PBE", "state": "relaxed", "lattice": [[9.3060, 0.0000, 0.0000], [0.0000, 9.3060, 0.0000], [4.6530, 4.6530, 3.0057]], "species": ["Pb", "Pb", "Br", "Br", "Br", "Br", "Zr", "Zr"], "fractional_positions": [[0.0000, 0.0000, 0.0000], [0.7500, 0.2500, 0.5000], [0.5029, 0.1250, 0.2500], [0.2471, 0.6250, 0.2500], [0.3750, 0.4971, 0.7500], [0.8750, 0.7529, 0.7500], [0.5000, 0.5000, 0.0000], [0.2500, 0.7500, 0.5000]], "relative_energy_mev_per_atom": 426, "magmom_total_mub_per_fu": 0.00, "sg": "No. 122", "e_form_raw_ev_per_fu": -1.39, "vol_a3_per_atom": 32.54}

---

21.
{"formula": "CoPtSeN2", "functional": "GGA-PBE", "state": "relaxed", "lattice": [[-1.3819, -1.5953, -2.7998], [1.0576, -3.1022, 1.2456], [-6.0085, -0.6980, 3.3634]], "species": ["Co", "Se", "Pt", "N", "N"], "fractional_positions": [[0.0000, 0.0000, 0.0000], [0.0000, 0.0000, 0.5000], [0.5000, 0.5000, 0.5000], [0.0000, 0.5000, 0.0000], [0.5000, 0.0000, 0.0000]], "relative_energy_mev_per_atom": 0, "magmom_total_mub_per_fu": 0.25, "sg": "No. 123", "e_form_raw_ev_per_fu": 5.21, "vol_a3_per_atom": 17.02}

---

22.
{"formula": "Tb2ThAl6", "functional": "GGA-PBE", "state": "relaxed", "lattice": [[3.6523, 0.0000, 0.0000], [0.0000, 6.8349, -3.9461], [0.0000, 0.0000, 7.8923]], "species": ["Tb", "Tb", "Th", "Al", "Al", "Al", "Al", "Al", "Al"], "fractional_positions": [[0.0000, 0.3333, 0.6667], [0.0000, 0.6667, 0.3333], [0.0000, 0.0000, 0.0000], [0.5000, 0.3346, 0.3346], [0.5000, 0.6654, 0.6654], [0.5000, 0.0000, 0.6654], [0.5000, 0.6654, 0.0000], [0.5000, 0.3346, 0.0000], [0.5000, 0.0000, 0.3346]], "relative_energy_mev_per_atom": 0, "magmom_total_mub_per_fu": 0.00, "sg": "No. 191", "delta_e_f_ev_per_atom": -0.46, "vol_a3_per_atom": 21.89}

---

23.
{"formula": "Cd2AsP", "functional": "GGA-PBE", "state": "relaxed", "lattice": [[-2.8928, 2.5582, 1.2833], [-1.9754, -3.7173, 2.9576], [2.3428, 1.1434, 3.0018]], "species": ["As", "Cd", "Cd", "P"], "fractional_positions": [[0.0000, 0.5000, 0.5000], [0.0000, 0.0000, 0.0000], [0.5000, 0.5000, 0.0000], [0.5000, 0.0000, 0.5000]], "relative_energy_mev_per_atom": 258, "magmom_total_mub_per_fu": 0.00, "sg": "No. 47", "delta_e_f_ev_per_atom": 0.34, "vol_a3_per_atom": 20.81}

---

24.
{"formula": "Rb3Zr3UTe8", "functional": "GGA-PBE", "state": "relaxed", "lattice": [[8.3763, -0.0014, -0.0008], [-4.1894, 7.2534, -0.0315], [-0.0001, -4.7936, 8.8852]], "species": ["Rb", "Rb", "Rb", "Zr", "Zr", "Zr", "U", "Te", "Te", "Te", "Te", "Te", "Te", "Te", "Te"], "fractional_positions": [[0.0000, 0.0000, 0.0000], [0.0000, 0.5000, 0.0000], [0.5000, 0.5000, 0.0000], [0.5000, 0.0000, 0.5000], [0.5000, 0.5000, 0.5000], [0.0000, 0.5000, 0.5000], [0.0000, 0.0000, 0.5000], [0.2683, 0.5365, 0.3050], [0.7317, 0.4635, 0.6950], [0.7592, 0.5184, 0.3003], [0.2408, 0.4816, 0.6997], [0.7592, 0.0408, 0.3003], [0.2408, 0.9592, 0.6997], [0.2817, 0.0409, 0.3003], [0.7183, 0.9591, 0.6997]], "magmom_total_mub_per_fu": 3.17, "sg": "No. 166", "e_form_raw_ev_per_fu": -13.92, "vol_a3_per_atom": 35.90}

---

25.
{"formula": "FeP2Pb", "functional": "GGA-PBE", "state": "relaxed", "lattice": [[3.3812, 0.0000, 0.0000], [0.0000, 3.7740, 0.0318], [0.0000, 1.4025, 5.7494]], "species": ["Fe", "P", "P", "Pb"], "fractional_positions": [[0.5000, 0.8528, 0.8268], [0.0000, 0.8819, 0.0691], [0.5000, 0.2924, 0.0482], [0.0000, 0.4728, 0.5560]], "magmom_total_mub_per_fu": 0.00, "sg": "No. 6", "delta_e_f_ev_per_atom": 0.12, "vol_a3_per_atom": 18.30}